Record 1
CsAgPd3 | PBE | optimized geometry

a = 5.2864 Å, b = 5.2864 Å, c = 5.2864 Å
α = 90.00°, β = 90.00°, γ = 90.00°
Closest atoms and distances in Å follow each position.
Element x y z (fractional)
Cs (0.0000, 0.0000, 0.0000)  6 Pd 2.64
Pd (0.0000, 0.5000, 0.0000)  2 Cs 2.64
Pd (0.0000, 0.0000, 0.5000)  2 Cs 2.64
Pd (0.5000, 0.0000, 0.0000)  2 Cs 2.64
Ag (0.5000, 0.5000, 0.5000)  12 Pd 3.74

Values from the calculation:
energy relative to the lowest polymorph listed for this composition	819	meV/atom
energy of formation from the pure elements	1.41	eV/atom
Fermi-level density of states	0.6787	states/eV/atom

Record 2
Cs2RbAgPd | PBE | optimized geometry

a = 6.6784 Å, b = 6.6784 Å, c = 6.4558 Å
α = 90.00°, β = 90.00°, γ = 90.00°
Closest atoms and distances in Å follow each position.
Element x y z (fractional)
Ag (0.5000, 0.5000, 0.5000)  8 Cs 4.64, 4 Rb 4.72
Cs (0.5000, 0.0000, 0.0000)  2 Pd 3.34
Cs (0.0000, 0.5000, 0.0000)  2 Pd 3.34
Pd (0.0000, 0.0000, 0.0000)  2 Rb 3.23, 4 Cs 3.34
Rb (0.0000, 0.0000, 0.5000)  2 Pd 3.23

Values from the calculation:
energy relative to the lowest polymorph listed for this composition	0	meV/atom
energy of formation from the pure elements	0.13	eV/atom
Fermi-level density of states	0.0738	states/eV/atom

Record 3
Cs2RbAgPd | PBE | optimized geometry

a = 6.7595 Å, b = 6.7595 Å, c = 5.4736 Å
α = 90.00°, β = 90.00°, γ = 90.00°
Closest atoms and distances in Å follow each position.
Element x y z (fractional)
Cs (0.0000, 0.5000, 0.0000)  2 Pd 3.38
Cs (0.5000, 0.0000, 0.0000)  2 Pd 3.38
Rb (0.5000, 0.5000, 0.5000)  8 Cs 4.35, 4 Ag 4.78
Ag (0.0000, 0.0000, 0.5000)  2 Pd 2.74
Pd (0.0000, 0.0000, 0.0000)  2 Ag 2.74

Values from the calculation:
energy relative to the lowest polymorph listed for this composition	24	meV/atom
energy of formation from the pure elements	0.15	eV/atom
Fermi-level density of states	0.6352	states/eV/atom

Record 4
CsAgPdS2 | PBE | optimized geometry

a = 5.6426 Å, b = 6.2466 Å, c = 7.9969 Å
α = 112.99°, β = 90.00°, γ = 90.00°
Closest atoms and distances in Å follow each position.
Element x y z (fractional)
Pd (0.5000, 0.7500, 0.0000)  4 S 2.43
Pd (0.5000, 0.2500, 0.0000)  4 S 2.43
S (0.3233, 0.1071, 0.2142)  1 Ag 2.41, 2 Pd 2.43
S (0.6767, 0.8929, 0.7858)  1 Ag 2.41, 2 Pd 2.43
S (0.3233, 0.3929, 0.7858)  1 Ag 2.41, 2 Pd 2.43
S (0.6767, 0.6071, 0.2142)  1 Ag 2.41, 2 Pd 2.43
Cs (0.7840, 0.2500, 0.5000)  4 S 3.34-3.70
Cs (0.2160, 0.7500, 0.5000)  4 S 3.34-3.70
Ag (0.0000, 0.0000, 0.0000)  2 S 2.41
Ag (0.0000, 0.5000, 0.0000)  2 S 2.41

Values from the calculation:
uncorrected formation energy	-0.4140	eV/atom
Fermi-level density of states	0.6783	states/eV/atom

Record 5
CsAgPdSe2 | PBE | optimized geometry

a = 5.9374 Å, b = 6.3372 Å, c = 8.2123 Å
α = 112.70°, β = 90.00°, γ = 90.00°
Closest atoms and distances in Å follow each position.
Element x y z (fractional)
Ag (0.0000, 0.0000, 0.0000)  2 Se 2.53
Ag (0.0000, 0.5000, 0.0000)  2 Se 2.53
Cs (0.7853, 0.2500, 0.5000)  8 Se 3.48-3.86
Cs (0.2147, 0.7500, 0.5000)  8 Se 3.48-3.86
Pd (0.5000, 0.7500, 0.0000)  4 Se 2.55
Pd (0.5000, 0.2500, 0.0000)  4 Se 2.55
Se (0.6812, 0.6107, 0.2213)  1 Ag 2.53, 2 Pd 2.55
Se (0.3188, 0.1107, 0.2213)  1 Ag 2.53, 2 Pd 2.55
Se (0.6812, 0.8893, 0.7787)  1 Ag 2.53, 2 Pd 2.55
Se (0.3188, 0.3893, 0.7787)  1 Ag 2.53, 2 Pd 2.55

Values from the calculation:
uncorrected formation energy	-0.4380	eV/atom
Fermi-level density of states	0.5068	states/eV/atom

Record 6
CsAgTe2Pd | PBE | optimized geometry

a = 8.3409 Å, b = 6.5889 Å, c = 7.3512 Å
α = 116.63°, β = 90.00°, γ = 90.00°
Closest atoms and distances in Å follow each position.
Element x y z (fractional)
Te (0.2908, 0.4135, 0.8270)  2 Pd 2.66, 1 Ag 2.68
Te (0.2908, 0.0865, 0.1730)  2 Pd 2.66, 1 Ag 2.68
Te (0.7092, 0.5865, 0.1730)  2 Pd 2.66, 1 Ag 2.68
Te (0.7092, 0.9135, 0.8270)  2 Pd 2.66, 1 Ag 2.68
Pd (0.5000, 0.2500, 0.0000)  4 Te 2.66
Pd (0.5000, 0.7500, 0.0000)  4 Te 2.66
Ag (0.0000, 0.5000, 0.0000)  2 Te 2.68
Ag (0.0000, 0.0000, 0.0000)  2 Te 2.68
Cs (0.2841, 0.7500, 0.5000)  6 Te 3.93-4.15, 2 Ag 4.05, 4 Pd 4.09
Cs (0.7159, 0.2500, 0.5000)  6 Te 3.93-4.15, 2 Ag 4.05, 4 Pd 4.09

Values from the calculation:
uncorrected formation energy	-0.4249	eV/atom
Fermi-level density of states	0.3765	states/eV/atom